K2Tl4Ni | the Alexandria database | PBE | optimized geometry; formation enthalpy at 0 K = 24 meV per atom; electronic total energy = -2.468 eV/atom; symmetry = I4/mmm, No. 139; Fermi-level density of states = 4.4 states/eV per cell; mass density = 6.38 Mg/m³
1.0
5.160 0.000 0.000
0.000 5.160 0.000
-2.580 -2.580 9.338
Ni Tl K
1 4 2
Direct
0.000 0.000 0.000
0.860 0.860 0.721
0.140 0.140 0.279
0.000 0.500 0.000
0.500 0.000 0.000
0.336 0.336 0.672
0.664 0.664 0.328



Ho2ScSi2 | the Alexandria database | PBE | optimized geometry; raw formation energy = -706 meV/atom; electronic total energy = -5.973 eV/atom; symmetry = Immm, No. 71; E above lowest polymorph = 0.0 meV per atom; Fermi-level density of states = 4.3 states/eV per cell; mass density = 6.50 Mg/m³
1.0
-3.475 -1.923 -1.354
-3.387 -1.519 4.348
-4.655 3.189 0.918
Si Sc Ho
2 1 2
Direct
0.000 0.207 0.293
0.000 0.793 0.707
0.500 0.500 0.000
0.298 0.202 0.702
0.702 0.798 0.298



AgSbW2 | the Alexandria database | PBE | optimized geometry; raw formation energy = 695 meV/atom; electronic total energy = -7.525 eV/atom; symmetry = Imm2, No. 44; Fermi-level density of states = 2.2 states/eV per cell; mass density = 13.72 Mg/m³
1.0
-1.291 2.776 -4.418
-1.157 -3.019 -4.295
-1.448 0.975 5.084
W Sb Ag
2 1 1
Direct
0.769 0.269 0.500
0.987 0.987 0.000
0.242 0.742 0.500
0.501 0.501 0.000